Compound: Er2HfI
Source: the Alexandria database
Functional: PBE
Structure: relaxed

The structure in CIF format:
```
data_Er2HfI
_space_group_name_H-M_alt 'P 1'
_space_group_IT_number 1
_space_group_name_Hall 'P 1'
_cell_length_a 3.472
_cell_length_b 3.472
_cell_length_c 11.376
_cell_angle_alpha 81.22
_cell_angle_beta 81.22
_cell_angle_gamma 60.00
loop_
_atom_site_label
_atom_site_fract_x
_atom_site_fract_y
_atom_site_fract_z
_atom_site_occupancy
I1 0.500 0.500 0.500 1
Hf1 0.000 0.000 0.000 1
Er1 0.092 0.092 0.725 1
Er2 0.908 0.908 0.275 1
```

formation energy (no corrections)	1.0	eV/f.u.
space group	R-3m, No. 166
final energy	-4.92	eV per atom



Compound: ThTlHgAu
Source: the Alexandria database
Functional: PBE
Structure: relaxed

The structure in CIF format:
```
data_ThTlHgAu
_space_group_name_H-M_alt 'P 1'
_space_group_IT_number 1
_space_group_name_Hall 'P 1'
_cell_length_a 5.199
_cell_length_b 5.199
_cell_length_c 5.199
_cell_angle_alpha 60.00
_cell_angle_beta 60.00
_cell_angle_gamma 60.00
loop_
_atom_site_label
_atom_site_fract_x
_atom_site_fract_y
_atom_site_fract_z
_atom_site_occupancy
Th1 0.750 0.750 0.750 1
Au1 0.000 0.000 0.000 1
Hg1 0.500 0.500 0.500 1
Tl1 0.250 0.250 0.250 1
```

space group	F-43m, No. 216
final energy	-3.66	eV per atom
formation energy	-0.323	eV per atom



Compound: HgTe2Br
Source: the Alexandria database
Functional: PBE
Structure: relaxed

The structure in CIF format:
```
data_HgTe2Br
_space_group_name_H-M_alt 'P 1'
_space_group_IT_number 1
_space_group_name_Hall 'P 1'
_cell_length_a 2.899
_cell_length_b 7.808
_cell_length_c 6.283
_cell_angle_alpha 90.00
_cell_angle_beta 90.00
_cell_angle_gamma 90.00
loop_
_atom_site_label
_atom_site_fract_x
_atom_site_fract_y
_atom_site_fract_z
_atom_site_occupancy
Te1 0.000 0.000 0.994 1
Te2 0.000 0.000 0.506 1
Hg1 0.500 0.500 0.750 1
Br1 0.500 0.500 0.250 1
```

formation energy (no corrections)	0.2	eV/f.u.
space group	Pmmm, No. 47
final energy	-2.02	eV per atom
distance to the lowest polymorph of the same formula	157	meV/atom



Compound: Ba3LiAl2Sn9
Source: the Alexandria database
Functional: PBE
Structure: relaxed

The structure in CIF format:
```
data_Ba3LiAl2Sn9
_space_group_name_H-M_alt 'P 1'
_space_group_IT_number 1
_space_group_name_Hall 'P 1'
_cell_length_a 7.665
_cell_length_b 7.665
_cell_length_c 9.116
_cell_angle_alpha 90.00
_cell_angle_beta 90.00
_cell_angle_gamma 120.00
loop_
_atom_site_label
_atom_site_fract_x
_atom_site_fract_y
_atom_site_fract_z
_atom_site_occupancy
Sn1 0.843 0.157 0.665 1
Sn2 0.157 0.843 0.335 1
Sn3 0.500 0.500 0.000 1
Sn4 0.843 0.687 0.665 1
Sn5 0.000 0.500 0.000 1
Sn6 0.313 0.157 0.665 1
Sn7 0.157 0.313 0.335 1
Sn8 0.687 0.843 0.335 1
Sn9 0.500 0.000 0.000 1
Li1 0.000 0.000 0.500 1
Ba1 0.333 0.667 0.660 1
Ba2 0.667 0.333 0.340 1
Ba3 0.000 0.000 0.000 1
Al1 0.333 0.667 0.186 1
Al2 0.667 0.333 0.814 1
```

space group	P-3m1, No. 164
final energy	-3.58	eV per atom
formation energy	-0.162	eV per atom



Compound: ZnSnO2
Source: the Alexandria database
Functional: PBE
Structure: relaxed

The structure in CIF format:
```
data_ZnSnO2
_space_group_name_H-M_alt 'P 1'
_space_group_IT_number 1
_space_group_name_Hall 'P 1'
_cell_length_a 8.299
_cell_length_b 8.299
_cell_length_c 8.299
_cell_angle_alpha 22.34
_cell_angle_beta 22.34
_cell_angle_gamma 22.34
loop_
_atom_site_label
_atom_site_fract_x
_atom_site_fract_y
_atom_site_fract_z
_atom_site_occupancy
O1 0.876 0.876 0.876 1
O2 0.124 0.124 0.124 1
Sn1 0.500 0.500 0.500 1
Zn1 0.000 0.000 0.000 1
```

formation energy (no corrections)	-3.8	eV/f.u.
space group	R-3m, No. 166
final energy	-4.75	eV per atom
distance to the lowest polymorph of the same formula	313	meV/atom



Compound: Nd4OsSeBr2
Source: the Alexandria database
Functional: PBE
Structure: relaxed

The structure in CIF format:
```
data_Nd4OsSeBr2
_space_group_name_H-M_alt 'P 1'
_space_group_IT_number 1
_space_group_name_Hall 'P 1'
_cell_length_a 4.137
_cell_length_b 7.634
_cell_length_c 7.837
_cell_angle_alpha 106.83
_cell_angle_beta 90.00
_cell_angle_gamma 90.00
loop_
_atom_site_label
_atom_site_fract_x
_atom_site_fract_y
_atom_site_fract_z
_atom_site_occupancy
Nd1 0.500 0.256 0.205 1
Nd2 0.000 0.711 0.200 1
Nd3 0.500 0.744 0.795 1
Nd4 0.000 0.289 0.800 1
Se1 0.000 0.000 0.000 1
Br1 0.500 0.000 0.500 1
Br2 0.000 0.500 0.500 1
Os1 0.500 0.500 0.000 1
```

formation energy (no corrections)	-8.8	eV/f.u.
space group	P2/m, No. 10
final energy	-5.75	eV per atom



Compound: DyPuPa
Source: the Alexandria database
Functional: PBE
Structure: relaxed

The structure in CIF format:
```
data_DyPuPa
_space_group_name_H-M_alt 'P 1'
_space_group_IT_number 1
_space_group_name_Hall 'P 1'
_cell_length_a 3.321
_cell_length_b 5.257
_cell_length_c 5.257
_cell_angle_alpha 120.00
_cell_angle_beta 90.00
_cell_angle_gamma 90.00
loop_
_atom_site_label
_atom_site_fract_x
_atom_site_fract_y
_atom_site_fract_z
_atom_site_occupancy
Pu1 0.167 0.000 0.000 1
Pa1 0.167 0.667 0.333 1
Dy1 0.667 0.333 0.667 1
```

space group	P-6m2, No. 187
final energy	-9.25	eV per atom
distance to the lowest polymorph of the same formula	97	meV/atom
formation energy	0.223	eV per atom



Compound: MgBe4Co
Source: the Alexandria database
Functional: PBE
Structure: relaxed

The structure in CIF format:
```
data_MgBe4Co
_space_group_name_H-M_alt 'P 1'
_space_group_IT_number 1
_space_group_name_Hall 'P 1'
_cell_length_a 4.341
_cell_length_b 4.341
_cell_length_c 4.341
_cell_angle_alpha 60.00
_cell_angle_beta 60.00
_cell_angle_gamma 60.00
loop_
_atom_site_label
_atom_site_fract_x
_atom_site_fract_y
_atom_site_fract_z
_atom_site_occupancy
Be1 0.869 0.377 0.377 1
Be2 0.377 0.377 0.869 1
Be3 0.377 0.869 0.377 1
Be4 0.377 0.377 0.377 1
Mg1 0.000 0.000 0.000 1
Co1 0.750 0.750 0.750 1
```

space group	F-43m, No. 216
final energy	-4.03	eV per atom
formation energy	-0.100	eV per atom



Compound: RbH2Rh
Source: the Alexandria database
Functional: PBE
Structure: relaxed

The structure in CIF format:
```
data_RbH2Rh
_space_group_name_H-M_alt 'P 1'
_space_group_IT_number 1
_space_group_name_Hall 'P 1'
_cell_length_a 4.353
_cell_length_b 4.353
_cell_length_c 4.353
_cell_angle_alpha 60.00
_cell_angle_beta 60.00
_cell_angle_gamma 60.00
loop_
_atom_site_label
_atom_site_fract_x
_atom_site_fract_y
_atom_site_fract_z
_atom_site_occupancy
Rb1 0.000 0.000 0.000 1
H1 0.250 0.250 0.250 1
H2 0.750 0.750 0.750 1
Rh1 0.500 0.500 0.500 1
```

space group	Fm-3m, No. 225
final energy	-2.70	eV per atom
distance to the lowest polymorph of the same formula	1026	meV/atom



Compound: YMg11Rh
Source: the Alexandria database
Functional: PBE
Structure: relaxed

The structure in CIF format:
```
data_YMg11Rh
_space_group_name_H-M_alt 'P 1'
_space_group_IT_number 1
_space_group_name_Hall 'P 1'
_cell_length_a 5.659
_cell_length_b 7.629
_cell_length_c 7.718
_cell_angle_alpha 82.29
_cell_angle_beta 68.49
_cell_angle_gamma 68.54
loop_
_atom_site_label
_atom_site_fract_x
_atom_site_fract_y
_atom_site_fract_z
_atom_site_occupancy
Mg1 0.031 0.639 0.331 1
Mg2 0.638 0.361 0.331 1
Mg3 0.000 0.500 0.000 1
Mg4 0.507 0.219 0.798 1
Mg5 0.969 0.361 0.669 1
Mg6 0.362 0.639 0.669 1
Mg7 0.695 0.781 0.798 1
Mg8 0.493 0.781 0.202 1
Mg9 0.500 0.000 0.500 1
Mg10 0.305 0.219 0.202 1
Mg11 0.000 0.000 0.500 1
Rh1 0.500 0.500 0.000 1
Y1 0.000 0.000 0.000 1
```

space group	C2/m, No. 12
final energy	-2.54	eV per atom
formation energy	-0.124	eV per atom